# BeOs2Au PBE-GGA optimized geometry
# DOS(E_F) (states/eV per cell): 7.10
# Formation energy (kJ/mol of atoms): 41.3
data_BeOs2Au
_chemical_formula_sum 'Be2 Os4 Au2'
_cell_length_a 2.8059
_cell_length_b 4.6683
_cell_length_c 8.7300
_cell_angle_alpha 90.00
_cell_angle_beta 90.00
_cell_angle_gamma 90.00
_symmetry_space_group_name_H-M 'C m m 2'
_symmetry_Int_Tables_number 35
_symmetry_space_group_name_Hall 'C 2 -2'
loop_
_atom_site_label
_atom_site_type_symbol
_atom_site_fract_x
_atom_site_fract_y
_atom_site_fract_z
_atom_site_occupancy
Be1 Be 0.0000 0.0000 0.0000 1
Os1 Os 0.0000 0.0000 0.5270 1
Os2 Os 0.0000 0.5000 0.7832 1
Au1 Au 0.0000 0.5000 0.2273 1



# BeOs2Au PBE-GGA optimized geometry
# DOS(E_F) (states/eV per cell): 4.08
# Formation energy (kJ/mol of atoms): 52.3
data_BeOs2Au
_chemical_formula_sum 'Be1 Os2 Au1'
_cell_length_a 2.7494
_cell_length_b 4.5214
_cell_length_c 4.6611
_cell_angle_alpha 90.00
_cell_angle_beta 90.00
_cell_angle_gamma 90.00
_symmetry_space_group_name_H-M 'P m m m'
_symmetry_Int_Tables_number 47
_symmetry_space_group_name_Hall '-P 2 2'
loop_
_atom_site_label
_atom_site_type_symbol
_atom_site_fract_x
_atom_site_fract_y
_atom_site_fract_z
_atom_site_occupancy
Be1 Be 0.0000 0.0000 0.0000 1
Os1 Os 0.0000 0.5000 0.5000 1
Os2 Os 0.5000 0.0000 0.5000 1
Au1 Au 0.5000 0.5000 0.0000 1



# BeOsAu3 PBE-GGA optimized geometry
# DOS(E_F) (states/eV per cell): 3.95
# Formation energy (kJ/mol of atoms): 81.5
data_BeOsAu3
_chemical_formula_sum 'Be1 Os1 Au3'
_cell_length_a 4.3333
_cell_length_b 4.3333
_cell_length_c 4.3333
_cell_angle_alpha 90.00
_cell_angle_beta 90.00
_cell_angle_gamma 90.00
_symmetry_space_group_name_H-M 'P m -3 m'
_symmetry_Int_Tables_number 221
_symmetry_space_group_name_Hall '-P 4 2 3'
loop_
_atom_site_label
_atom_site_type_symbol
_atom_site_fract_x
_atom_site_fract_y
_atom_site_fract_z
_atom_site_occupancy
Be1 Be 0.0000 0.0000 0.0000 1
Os1 Os 0.5000 0.5000 0.5000 1
Au1 Au 0.0000 0.0000 0.5000 1



# Be2OsAu2 PBE-GGA optimized geometry
# DOS(E_F) (states/eV per cell): 5.76
# Formation energy (kJ/mol of atoms): 15.6
data_Be2OsAu2
_chemical_formula_sum 'Be4 Os2 Au4'
_cell_length_a 6.6606
_cell_length_b 6.6606
_cell_length_c 2.9409
_cell_angle_alpha 90.00
_cell_angle_beta 90.00
_cell_angle_gamma 90.00
_symmetry_space_group_name_H-M 'P 4/m b m'
_symmetry_Int_Tables_number 127
_symmetry_space_group_name_Hall '-P 4 2ab'
loop_
_atom_site_label
_atom_site_type_symbol
_atom_site_fract_x
_atom_site_fract_y
_atom_site_fract_z
_atom_site_occupancy
Be1 Be 0.1373 0.3627 0.0000 1
Os1 Os 0.0000 0.0000 0.0000 1
Au1 Au 0.1627 0.6627 0.5000 1



# Be2OsAu PBE-GGA optimized geometry
# DOS(E_F) (states/eV per cell): 3.04
# Formation energy (kJ/mol of atoms): -4.1
data_Be2OsAu
_chemical_formula_sum 'Be4 Os2 Au2'
_cell_length_a 3.5872
_cell_length_b 3.0950
_cell_length_c 8.4913
_cell_angle_alpha 90.00
_cell_angle_beta 90.00
_cell_angle_gamma 90.00
_symmetry_space_group_name_H-M 'A m m 2'
_symmetry_Int_Tables_number 38
_symmetry_space_group_name_Hall 'A 2 -2'
loop_
_atom_site_label
_atom_site_type_symbol
_atom_site_fract_x
_atom_site_fract_y
_atom_site_fract_z
_atom_site_occupancy
Be1 Be 0.0000 0.0000 0.0000 1
Be2 Be 0.5000 0.0000 0.1574 1
Os1 Os 0.0000 0.0000 0.7109 1
Au1 Au 0.5000 0.0000 0.4311 1



# Be4OsAu PBE-GGA optimized geometry
# DOS(E_F) (states/eV per cell): 8.20
# Formation energy (kJ/mol of atoms): -4.3
data_Be4OsAu
_chemical_formula_sum 'Be16 Os4 Au4'
_cell_length_a 6.3053
_cell_length_b 6.3053
_cell_length_c 6.3053
_cell_angle_alpha 90.00
_cell_angle_beta 90.00
_cell_angle_gamma 90.00
_symmetry_space_group_name_H-M 'F -4 3 m'
_symmetry_Int_Tables_number 216
_symmetry_space_group_name_Hall 'F -4 2 3'
loop_
_atom_site_label
_atom_site_type_symbol
_atom_site_fract_x
_atom_site_fract_y
_atom_site_fract_z
_atom_site_occupancy
Be1 Be 0.1235 0.1235 0.3765 1
Os1 Os 0.2500 0.2500 0.7500 1
Au1 Au 0.0000 0.0000 0.0000 1



# Be2OsAu PBE-GGA optimized geometry
# DOS(E_F) (states/eV per cell): 12.64
# Formation energy (kJ/mol of atoms): 40.3
data_Be2OsAu
_chemical_formula_sum 'Be8 Os4 Au4'
_cell_length_a 6.1637
_cell_length_b 6.1637
_cell_length_c 5.4901
_cell_angle_alpha 90.00
_cell_angle_beta 90.00
_cell_angle_gamma 90.00
_symmetry_space_group_name_H-M 'I -4 2 d'
_symmetry_Int_Tables_number 122
_symmetry_space_group_name_Hall 'I -4 2bw'
loop_
_atom_site_label
_atom_site_type_symbol
_atom_site_fract_x
_atom_site_fract_y
_atom_site_fract_z
_atom_site_occupancy
Be1 Be 0.2467 0.2500 0.1250 1
Os1 Os 0.0000 0.0000 0.0000 1
Au1 Au 0.0000 0.0000 0.5000 1



# Be2OsAu PBE-GGA optimized geometry
# DOS(E_F) (states/eV per cell): 4.24
# Formation energy (kJ/mol of atoms): 77.4
data_Be2OsAu
_chemical_formula_sum 'Be4 Os2 Au2'
_cell_length_a 2.6038
_cell_length_b 4.8870
_cell_length_c 9.1236
_cell_angle_alpha 90.00
_cell_angle_beta 90.00
_cell_angle_gamma 90.00
_symmetry_space_group_name_H-M 'I m m m'
_symmetry_Int_Tables_number 71
_symmetry_space_group_name_Hall '-I 2 2'
loop_
_atom_site_label
_atom_site_type_symbol
_atom_site_fract_x
_atom_site_fract_y
_atom_site_fract_z
_atom_site_occupancy
Be1 Be 0.0000 0.0000 0.2449 1
Os1 Os 0.0000 0.0000 0.0000 1
Au1 Au 0.0000 0.0000 0.5000 1



Number 1: size of the total moment 0.00 μB/f.u.. Number 2: size of the total moment 0.00 μB/f.u.. Number 3: size of the total moment 0.00 μB/f.u.. Number 4: size of the total moment 0.00 μB/f.u.. Number 5: size of the total moment 0.00 μB/f.u.. Number 6: size of the total moment 0.00 μB/f.u.. Number 7: size of the total moment 0.00 μB/f.u.. Number 8: size of the total moment 0.00 μB/f.u..